# 1
The following is a GGA-PBE calculation of KErTlO3 after structural relaxation, from Alexandria.

Cell lengths 6.868, 3.485, 11.058 Å; angles 90.00, 103.83, 90.00 degrees
Space group P2_1/m (No. 11)
Inequivalent atoms, fractional coordinates:
1 K 0.041 0.250 0.333
2 Er 0.467 0.250 0.623
3 Tl 0.442 0.750 0.880
4 O 0.267 0.250 0.771
5 O 0.320 0.750 0.501
6 O 0.379 0.250 0.260

## Properties
total DFT energy (no corrections) = -5.82 eV/atom
total magnetization = 0.000 μB per atom


# 2
The following is a GGA-PBE calculation of K3ErTl2O6 after structural relaxation, from Alexandria.

Cell lengths 6.012, 10.417, 6.567 Å; angles 90.00, 107.71, 90.00 degrees
Space group C2/m (No. 12)
Inequivalent atoms, fractional coordinates:
1 K 0.000 0.000 0.000
2 K 0.000 0.330 0.000
3 Er 0.000 0.500 0.500
4 Tl 0.000 0.166 0.500
5 O 0.227 0.337 0.695
6 O 0.240 0.000 0.696

## Properties
total DFT energy (no corrections) = -5.13 eV/atom
total magnetization = 0.000 μB per atom